Dy3In2Hg2: optimized geometry, PBE.

Results
For the total energy, the calculation gives -3.2670 eV per atom. The total magnetic moment is 0.20 μB/f.u. The calculation puts the density of states at the Fermi level at 14.508 states/eV per cell.

CIF file:
```
data_Dy3In2Hg2
_cell_length_a 4.693
_cell_length_b 22.070
_cell_length_c 3.448
_cell_angle_alpha 90.00
_cell_angle_beta 90.00
_cell_angle_gamma 90.00
_space_group_name_H-M_alt 'C m m m'
_space_group_IT_number 65
_space_group_name_Hall '-C 2 2'
loop_
_atom_site_label
_atom_site_type_symbol
_atom_site_fract_x
_atom_site_fract_y
_atom_site_fract_z
_atom_site_occupancy
Dy1 Dy 0.000 0.000 0.000 1
Dy2 Dy 0.000 0.157 0.000 1
In1 In 0.000 0.426 0.500 1
Hg1 Hg 0.000 0.288 0.500 1
```